No. 1
Crystalline KNa2Sr2 at its relaxed geometry, computed with PBE.

Cell and atoms, written as POSCAR:
```
KNa2Sr2
1.0
11.179 0.000 0.000
0.000 11.179 0.000
0.000 0.000 4.219
K Na Sr
2 4 4
Direct
0.000 0.000 0.000
0.500 0.500 0.000
0.164 0.336 0.500
0.336 0.836 0.500
0.664 0.164 0.500
0.836 0.664 0.500
0.130 0.630 0.000
0.370 0.130 0.000
0.630 0.870 0.000
0.870 0.370 0.000
```

Calculated density = 1.64 g/cm³
DFT formation energy = 0.1007 eV per atom
ΔE to the lowest computed polymorph = 0.26 eV/f.u.
Raw total energy = -13.2 eV/cell

No. 2
Crystalline K2Na9Sr at its relaxed geometry, computed with PBE.

Cell and atoms, written as POSCAR:
```
K2Na9Sr
1.0
3.592 2.074 11.823
-3.592 2.074 11.823
0.000 -4.148 11.823
K Na Sr
2 9 1
Direct
0.141 0.141 0.141
0.859 0.859 0.859
0.080 0.582 0.582
0.333 0.333 0.333
0.418 0.418 0.920
0.418 0.920 0.418
0.500 0.500 0.500
0.582 0.080 0.582
0.582 0.582 0.080
0.667 0.667 0.667
0.920 0.418 0.418
0.000 0.000 0.000
```

Calculated density = 1.17 g/cm³
DFT formation energy = 0.0273 eV per atom
Raw total energy = -15.4 eV/cell

No. 3
Crystalline K10Na4Sr at its relaxed geometry, computed with PBE.

Cell and atoms, written as POSCAR:
```
K10Na4Sr
1.0
-7.507 7.507 4.758
7.507 -7.507 4.758
7.507 7.507 -4.758
K Na Sr
10 4 1
Direct
0.027 0.342 0.892
0.135 0.027 0.685
0.250 0.750 0.500
0.342 0.450 0.315
0.450 0.135 0.108
0.550 0.865 0.892
0.658 0.550 0.685
0.750 0.250 0.500
0.865 0.973 0.315
0.973 0.658 0.108
0.099 0.699 0.799
0.301 0.099 0.400
0.699 0.901 0.600
0.901 0.301 0.201
0.500 0.500 0.000
```

Calculated density = 0.88 g/cm³
DFT formation energy = 0.1471 eV per atom
Raw total energy = -15.7 eV/cell

No. 4
Crystalline K2NaSr at its relaxed geometry, computed with PBE.

Cell and atoms, written as POSCAR:
```
K2NaSr
1.0
0.000 4.913 4.913
4.913 0.000 4.913
4.913 4.913 0.000
K Na Sr
2 1 1
Direct
0.250 0.250 0.250
0.750 0.750 0.750
0.000 0.000 0.000
0.500 0.500 0.500
```

Calculated density = 1.32 g/cm³
DFT formation energy = 0.1365 eV per atom
ΔE to the lowest computed polymorph = 0.37 eV/f.u.
Raw total energy = -4.6 eV/cell

No. 5
Crystalline K2Na5Sr at its relaxed geometry, computed with PBE.

Cell and atoms, written as POSCAR:
```
K2Na5Sr
1.0
-3.190 3.190 9.339
3.190 -3.190 9.339
3.190 3.190 -9.339
K Na Sr
2 5 1
Direct
0.246 0.246 0.000
0.754 0.754 0.000
0.000 0.000 0.000
0.112 0.612 0.500
0.388 0.888 0.500
0.612 0.112 0.500
0.888 0.388 0.500
0.500 0.500 0.000
```

Calculated density = 1.23 g/cm³
DFT formation energy = 0.0445 eV per atom
Raw total energy = -10.1 eV/cell

No. 6
Crystalline KNa16Sr2 at its relaxed geometry, computed with PBE.

Cell and atoms, written as POSCAR:
```
KNa16Sr2
1.0
6.112 3.529 5.979
-6.112 3.529 5.979
0.000 -7.058 5.979
K Na Sr
1 16 2
Direct
0.000 0.000 0.000
0.052 0.546 0.546
0.206 0.580 0.896
0.206 0.896 0.580
0.253 0.253 0.721
0.253 0.721 0.253
0.409 0.885 0.885
0.546 0.052 0.546
0.546 0.546 0.052
0.580 0.206 0.896
0.580 0.896 0.206
0.721 0.253 0.253
0.789 0.789 0.789
0.885 0.409 0.885
0.885 0.885 0.409
0.896 0.206 0.580
0.896 0.580 0.206
0.254 0.254 0.254
0.554 0.554 0.554
```

Calculated density = 1.25 g/cm³
DFT formation energy = 0.0358 eV per atom
Raw total energy = -24.9 eV/cell

No. 7
Crystalline KNa6Sr at its relaxed geometry, computed with PBE.

Cell and atoms, written as POSCAR:
```
KNa6Sr
1.0
5.568 0.000 0.000
0.000 5.568 0.000
0.000 0.000 11.284
K Na Sr
1 6 1
Direct
0.000 0.000 0.000
0.000 0.500 0.252
0.000 0.500 0.748
0.500 0.000 0.252
0.500 0.000 0.748
0.500 0.500 0.000
0.500 0.500 0.500
0.000 0.000 0.500
```

Calculated density = 1.26 g/cm³
DFT formation energy = 0.0461 eV per atom
ΔE to the lowest computed polymorph = 0.00 eV/f.u.
Raw total energy = -10.3 eV/cell

No. 8
Crystalline K2NaSr at its relaxed geometry, computed with PBE.

Cell and atoms, written as POSCAR:
```
K2NaSr
1.0
2.170 1.253 14.215
-2.170 1.253 14.215
0.000 -2.506 14.215
K Na Sr
2 1 1
Direct
0.000 0.000 0.000
0.177 0.177 0.177
0.588 0.588 0.588
0.755 0.755 0.755
```

Calculated density = 1.35 g/cm³
DFT formation energy = 0.0760 eV per atom
ΔE to the lowest computed polymorph = 0.12 eV/f.u.
Raw total energy = -4.9 eV/cell

No. 9
Crystalline K15Na4Sr at its relaxed geometry, computed with PBE.

Cell and atoms, written as POSCAR:
```
K15Na4Sr
1.0
6.447 0.000 0.000
0.000 6.447 0.000
0.000 0.000 30.515
K Na Sr
15 4 1
Direct
0.000 0.000 0.000
0.000 0.000 0.206
0.000 0.000 0.402
0.000 0.000 0.598
0.000 0.000 0.794
0.000 0.500 0.107
0.000 0.500 0.303
0.000 0.500 0.500
0.000 0.500 0.697
0.000 0.500 0.893
0.500 0.000 0.107
0.500 0.000 0.303
0.500 0.000 0.500
0.500 0.000 0.697
0.500 0.000 0.893
0.500 0.500 0.204
0.500 0.500 0.401
0.500 0.500 0.599
0.500 0.500 0.796
0.500 0.500 0.000
```

Calculated density = 1.00 g/cm³
DFT formation energy = 0.0377 eV per atom
Raw total energy = -22.7 eV/cell

No. 10
Crystalline KNa8Sr3 at its relaxed geometry, computed with PBE.

Cell and atoms, written as POSCAR:
```
KNa8Sr3
1.0
7.165 0.000 0.000
-3.582 6.205 0.000
0.000 0.000 11.790
K Na Sr
1 8 3
Direct
0.000 0.000 0.000
0.164 0.328 0.682
0.164 0.836 0.682
0.333 0.667 0.437
0.333 0.667 0.935
0.504 0.008 0.191
0.504 0.496 0.191
0.672 0.836 0.682
0.992 0.496 0.191
0.000 0.000 0.381
0.667 0.333 0.500
0.667 0.333 0.866
```

Calculated density = 1.54 g/cm³
DFT formation energy = 0.0147 eV per atom
Raw total energy = -16.5 eV/cell

No. 11
Crystalline K4NaSr at its relaxed geometry, computed with PBE.

Cell and atoms, written as POSCAR:
```
K4NaSr
1.0
0.000 5.789 5.789
5.789 0.000 5.789
5.789 5.789 0.000
K Na Sr
4 1 1
Direct
0.125 0.125 0.125
0.125 0.125 0.625
0.125 0.625 0.125
0.625 0.125 0.125
0.500 0.500 0.500
0.750 0.750 0.750
```

Calculated density = 1.14 g/cm³
DFT formation energy = 0.1533 eV per atom
Raw total energy = -6.5 eV/cell

No. 12
Crystalline KNa6Sr2 at its relaxed geometry, computed with PBE.

Cell and atoms, written as POSCAR:
```
KNa6Sr2
1.0
0.000 5.890 5.890
5.890 0.000 5.890
5.890 5.890 0.000
K Na Sr
1 6 2
Direct
0.000 0.000 0.000
0.291 0.291 0.709
0.291 0.709 0.291
0.291 0.709 0.709
0.709 0.291 0.291
0.709 0.291 0.709
0.709 0.709 0.291
0.250 0.250 0.250
0.750 0.750 0.750
```

Calculated density = 1.43 g/cm³
DFT formation energy = 0.1161 eV per atom
Raw total energy = -11.3 eV/cell

> DFT formation energy of number 6 (KNa16Sr2)?

0.0358 eV per atom